Computed, not measured: an optimized crystal structure of CeTiGe at the PBE level of DFT.

Computed properties:
The value obtained for the total magnetic moment is 2.4 μB per formula unit. Its formation energy from the elements is -0.3418 eV/atom. For the total energy, the calculation gives -6.491 eV per atom. As for the crystal system: hexagonal. The value obtained for the density of states at the Fermi level is 1.7945 states/eV per atom.

Lattice parameters (Å, degrees): 4.4731 4.4731 3.9423 90.00 90.00 120.00
With the nearest neighbours (Å) after each atom.
Positions (direct):
Ce  0.0000  0.0000  0.0000  6 Ge 3.25, 6 Ti 3.25
Ti  0.6667  0.3333  0.5000  3 Ge 2.58
Ge  0.3333  0.6667  0.5000  3 Ti 2.58